Record 1
# ReSe4I (PBE, relaxed)
# ΔE_f (raw) = -0.01 eV/atom
# Distance to the lowest polymorph of the same formula = 0.045 eV per atom
# Magnetic moment = 0.0 μB/f.u.
# Theoretical density = 5.1 g/cm³
data_ReSe4I
_chemical_formula_sum 'Re4 Se16 I4'
_space_group_name_H-M_alt 'C 1 2/m 1'
_space_group_IT_number 12
_space_group_name_Hall '-C 2y'
_cell_length_a 15.4025
_cell_length_b 8.0064
_cell_length_c 6.6612
_cell_angle_alpha 90.00
_cell_angle_beta 90.41
_cell_angle_gamma 90.00
loop_
_atom_site_label
_atom_site_fract_x
_atom_site_fract_y
_atom_site_fract_z
Re1 0.0608 0.0000 0.1642
Se1 0.0000 0.2435 0.0000
Se2 0.0756 0.1794 0.4837
Se3 0.2038 0.0000 0.1030
I1 0.2229 0.5000 0.3098

***

Record 2
# BeAg2Pt (PBE, relaxed)
# Energy of formation = 0.53 eV per formula unit
# Magnetic moment = 0.0 μB/f.u.
# Theoretical density = 11.5 g/cm³
data_BeAg2Pt
_chemical_formula_sum 'Be1 Ag2 Pt1'
_space_group_name_H-M_alt 'P m m m'
_space_group_IT_number 47
_space_group_name_Hall '-P 2 2'
_cell_length_a 2.8431
_cell_length_b 3.7218
_cell_length_c 5.7255
_cell_angle_alpha 90.00
_cell_angle_beta 90.00
_cell_angle_gamma 90.00
loop_
_atom_site_label
_atom_site_fract_x
_atom_site_fract_y
_atom_site_fract_z
Be1 0.0000 0.0000 0.0000
Ag1 0.5000 0.5000 0.2318
Pt1 0.0000 0.0000 0.5000

***

Record 3
# TlInAg2 (PBE, relaxed)
# Energy of formation = 0.52 eV per formula unit
# Magnetic moment = 0.0 μB/f.u.
# Theoretical density = 9.7 g/cm³
data_TlInAg2
_chemical_formula_sum 'Tl1 In1 Ag2'
_space_group_name_H-M_alt 'P 1 2/m 1'
_space_group_IT_number 10
_space_group_name_Hall '-P 2y'
_cell_length_a 3.2609
_cell_length_b 4.6853
_cell_length_c 6.0710
_cell_angle_alpha 90.00
_cell_angle_beta 100.65
_cell_angle_gamma 90.00
loop_
_atom_site_label
_atom_site_fract_x
_atom_site_fract_y
_atom_site_fract_z
Tl1 0.0000 0.0000 0.0000
In1 0.5000 0.0000 0.5000
Ag1 0.2834 0.5000 0.7336